(1)
Compound: TaTe2MoI
Source: the Alexandria database
Functional: PBE-GGA
Structure: optimized geometry

Its total magnetization is 5.265 Bohr magnetons per cell. For the offset from the most stable computed form, the calculation gives 0.000 eV/atom.

The space group is P4/mmm (No. 123) and the conventional cell measures 5.426, 5.426 and 5.555 Å, with angles of 90.00, 90.00 and 90.00 degrees. The inequivalent atoms are Ta at (0.000, 0.000, 0.000), Te at (0.000, 0.500, 0.000), Mo at (0.500, 0.500, 0.500) and I at (0.000, 0.000, 0.500).



(2)
Compound: TaTlMo2I
Source: the Alexandria database
Functional: PBE-GGA
Structure: optimized geometry

Its total magnetization is 0.000 Bohr magnetons per cell.

The space group is P4/mmm (No. 123) and the conventional cell measures 5.094, 5.094 and 5.131 Å, with angles of 90.00, 90.00 and 90.00 degrees. The inequivalent atoms are Ta at (0.000, 0.000, 0.000), Tl at (0.000, 0.000, 0.500), Mo at (0.000, 0.500, 0.500) and I at (0.500, 0.500, 0.000).



(3)
Compound: TaVMoI2
Source: the Alexandria database
Functional: PBE-GGA
Structure: optimized geometry

Its total magnetization is 3.889 Bohr magnetons per cell.

The space group is P4/mmm (No. 123) and the conventional cell measures 5.483, 5.483 and 4.849 Å, with angles of 90.00, 90.00 and 90.00 degrees. The inequivalent atoms are Ta at (0.000, 0.000, 0.000), V at (0.500, 0.500, 0.500), Mo at (0.000, 0.000, 0.500) and I at (0.000, 0.500, 0.000).



(4)
Compound: TaZn2MoI
Source: the Alexandria database
Functional: PBE-GGA
Structure: optimized geometry

Its total magnetization is 1.571 Bohr magnetons per cell.

The space group is P4/mmm (No. 123) and the conventional cell measures 5.240, 5.240 and 4.858 Å, with angles of 90.00, 90.00 and 90.00 degrees. The inequivalent atoms are Ta at (0.000, 0.000, 0.000), Zn at (0.000, 0.500, 0.000), Mo at (0.000, 0.000, 0.500) and I at (0.500, 0.500, 0.500).



(5)
Compound: TcMoI2
Source: the Alexandria database
Functional: PBE-GGA
Structure: optimized geometry

Its total magnetization is 0.000 Bohr magnetons per cell. For the offset from the most stable computed form, the calculation gives 0.000 eV/atom.

The space group is Fm-3m (No. 225) and the conventional cell measures 6.745, 6.745 and 6.745 Å, with angles of 90.00, 90.00 and 90.00 degrees. The inequivalent atoms are Tc at (0.000, 0.000, 0.000), Mo at (0.000, 0.000, 0.500) and I at (0.250, 0.250, 0.250).



(6)
Compound: TcMo2I
Source: the Alexandria database
Functional: PBE-GGA
Structure: optimized geometry

Its total magnetization is 0.000 Bohr magnetons per cell. For the offset from the most stable computed form, the calculation gives 0.484 eV/atom.

The space group is I-42d (No. 122) and the conventional cell measures 5.893, 5.893 and 11.634 Å, with angles of 90.00, 90.00 and 90.00 degrees. The inequivalent atoms are Tc at (0.000, 0.000, 0.000), Mo at (0.211, 0.250, 0.125) and I at (0.000, 0.000, 0.500).



(7)
Compound: Tc2MoI
Source: the Alexandria database
Functional: PBE-GGA
Structure: optimized geometry

Its total magnetization is 0.000 Bohr magnetons per cell. For the offset from the most stable computed form, the calculation gives 0.000 eV/atom.

The space group is Fm-3m (No. 225) and the conventional cell measures 6.442, 6.442 and 6.442 Å, with angles of 90.00, 90.00 and 90.00 degrees. The inequivalent atoms are Tc at (0.250, 0.250, 0.250), Mo at (0.000, 0.000, 0.000) and I at (0.000, 0.000, 0.500).



(8)
Compound: TcMoI2
Source: the Alexandria database
Functional: PBE-GGA
Structure: optimized geometry

Its total magnetization is 0.000 Bohr magnetons per cell. For the offset from the most stable computed form, the calculation gives 0.143 eV/atom.

The space group is I-42d (No. 122) and the conventional cell measures 6.024, 6.024 and 12.016 Å, with angles of 90.00, 90.00 and 90.00 degrees. The inequivalent atoms are Tc at (0.000, 0.000, 0.000), Mo at (0.000, 0.000, 0.500) and I at (0.245, 0.250, 0.125).



(9)
Compound: Tc2MoI
Source: the Alexandria database
Functional: PBE-GGA
Structure: optimized geometry

Its total magnetization is 0.000 Bohr magnetons per cell. For the offset from the most stable computed form, the calculation gives 0.326 eV/atom.

The space group is I-42d (No. 122) and the conventional cell measures 5.734, 5.734 and 11.818 Å, with angles of 90.00, 90.00 and 90.00 degrees. The inequivalent atoms are Tc at (0.221, 0.250, 0.125), Mo at (0.000, 0.000, 0.000) and I at (0.000, 0.000, 0.500).



(10)
Compound: TcMo2I
Source: the Alexandria database
Functional: PBE-GGA
Structure: optimized geometry

Its total magnetization is 0.000 Bohr magnetons per cell. For the offset from the most stable computed form, the calculation gives 0.000 eV/atom.

The space group is Fm-3m (No. 225) and the conventional cell measures 6.471, 6.471 and 6.471 Å, with angles of 90.00, 90.00 and 90.00 degrees. The inequivalent atoms are Tc at (0.000, 0.000, 0.000), Mo at (0.250, 0.250, 0.250) and I at (0.000, 0.000, 0.500).



(11)
Compound: TcTe2MoI
Source: the Alexandria database
Functional: PBE-GGA
Structure: optimized geometry

Its total magnetization is 3.239 Bohr magnetons per cell. For the offset from the most stable computed form, the calculation gives 0.000 eV/atom.

The space group is P4/mmm (No. 123) and the conventional cell measures 5.285, 5.285 and 5.615 Å, with angles of 90.00, 90.00 and 90.00 degrees. The inequivalent atoms are Tc at (0.000, 0.000, 0.000), Te at (0.000, 0.500, 0.500), Mo at (0.500, 0.500, 0.500) and I at (0.500, 0.500, 0.000).



(12)
Compound: TiTcMo2I
Source: the Alexandria database
Functional: PBE-GGA
Structure: optimized geometry

Its total magnetization is 1.520 Bohr magnetons per cell.

The space group is P4/mmm (No. 123) and the conventional cell measures 4.700, 4.700 and 4.649 Å, with angles of 90.00, 90.00 and 90.00 degrees. The inequivalent atoms are Ti at (0.000, 0.000, 0.000), Tc at (0.000, 0.000, 0.500), Mo at (0.000, 0.500, 0.000) and I at (0.500, 0.500, 0.500).



Number 1: E_form (uncorrected) 1.015 eV/atom. Number 2: E_form (uncorrected) 2.614 eV/atom. Number 3: E_form (uncorrected) 1.695 eV/atom. Number 4: E_form (uncorrected) 1.209 eV/atom. Number 5: E_form (uncorrected) 1.109 eV/atom. Number 6: E_form (uncorrected) 1.405 eV/atom. Number 7: E_form (uncorrected) 0.930 eV/atom. Number 8: E_form (uncorrected) 1.252 eV/atom. Number 9: E_form (uncorrected) 1.257 eV/atom. Number 10: E_form (uncorrected) 0.922 eV/atom. Number 11: E_form (uncorrected) 1.202 eV/atom. Number 12: E_form (uncorrected) 1.676 eV/atom.